No. 1
Density functional theory data (PBE) for an optimized crystal structure of Tm2PbI.

Summary:
ρ = 9073 kg/m3
Total moment = 0.0 μB/cell
Polymorph energy (0 for the lowest one) = 0 meV/atom
E_form (uncorrected) = -0.514 eV per atom
D(E_F) = 6.15 states/eV per cell

Lattice parameters (Å, degrees): 4.5350 4.5350 20.7141 90.00 90.00 120.00
With the nearest neighbours (Å) after each atom.
Space group R-3m (No. 166, hexagonal axes)
Asymmetric unit:
Tm  0.0000  0.0000  0.2392 (multiplicity 6)  3 Pb 3.02, 3 I 3.26
Pb  0.0000  0.0000  0.5000 (multiplicity 3)  6 Tm 3.02
I  0.0000  0.0000  0.0000 (multiplicity 3)  6 Tm 3.26

***

No. 2
Density functional theory data (PBE) for an optimized crystal structure of Pr2Al2Ga5.

Summary:
ρ = 5963 kg/m3
Total moment = 0.0 μB/cell
D(E_F) = 3.30 states/eV per cell
Formation enthalpy at 0 K = -0.42 eV per atom

Lattice parameters (Å, degrees): 4.3738 4.3738 9.9618 90.00 90.00 90.00
With the nearest neighbours (Å) after each atom.
Space group P4/mmm (No. 123)
Asymmetric unit:
Pr  0.0000  0.0000  0.0000 (multiplicity 1)  8 Al 3.34, 8 Ga 3.48
Pr  0.0000  0.0000  0.5000 (multiplicity 1)  12 Ga 3.09-3.16
Al  0.5000  0.5000  0.1254 (multiplicity 2)  1 Al 2.50, 4 Ga 2.63
Ga  0.0000  0.5000  0.2716 (multiplicity 4)  2 Al 2.63
Ga  0.5000  0.5000  0.5000 (multiplicity 1)  4 Pr 3.09, 8 Ga 3.16

***

No. 3
Density functional theory data (PBE) for an optimized crystal structure of Tb2Ho6Th.

Summary:
ρ = 8912 kg/m3
Total moment = 0.0 μB/cell
D(E_F) = 17.20 states/eV per cell
Formation enthalpy at 0 K = 0.06 eV per atom

Lattice parameters (Å, degrees): 3.5586 3.5586 26.1557 90.00 90.00 120.00
With the nearest neighbours (Å) after each atom.
Space group P-6m2 (No. 187)
Asymmetric unit:
Tb  0.0000  0.0000  0.1715 (multiplicity 2)  6 Ho 3.47-3.54, 6 Tb 3.56
Ho  0.0000  0.0000  0.3894 (multiplicity 2)  9 Ho 3.49-3.56, 3 Th 3.55
Ho  0.6667  0.3333  0.0647 (multiplicity 2)  7 Ho 3.38-3.56, 3 Tb 3.47
Ho  0.6667  0.3333  0.2816 (multiplicity 2)  9 Ho 3.49-3.56, 3 Tb 3.54
Th  0.6667  0.3333  0.5000 (multiplicity 1)  6 Ho 3.55, 6 Th 3.56

***

> Among the records above, which one has the highest D(E_F)?

Tb2Ho6Th

***

> Look up the ρ of the second one.

5963 kg/m3

***

> Number 2 is which compound?

Pr2Al2Ga5